Entry 1:
Entry from Alexandria: a geometry-optimized Sr2ScAg structure (PBE-GGA).

Cell lengths 3.8346, 5.8475, 12.1499 Å; angles 90.00, 90.00, 90.00 degrees
With the nearest neighbours (Å) after each atom.
Space group Imm2 (No. 44)
Asymmetric unit:
Sr  0.0000  0.0000  0.0000  4 Ag 3.51, 2 Sc 3.80, 4 Sr 3.82-3.83
Sr  0.0000  0.5000  0.2028  2 Ag 3.38, 4 Sc 3.69
Sc  0.0000  0.5000  0.8006  2 Ag 2.84
Ag  0.0000  0.0000  0.4735  2 Sc 2.84

Results
- energy relative to the lowest polymorph listed for this composition (meV per atom) = 62

Entry 2:
Entry from Alexandria: a geometry-optimized SrScAg2 structure (PBE-GGA).

Cell lengths 10.9109, 3.4950, 5.3885 Å; angles 90.00, 104.18, 90.00 degrees
With the nearest neighbours (Å) after each atom.
Space group Cm (No. 8)
Asymmetric unit:
Sr  0.0000  0.0000  0.0000  7 Ag 3.10-3.23, 1 Sc 3.46
Sc  0.2894  0.5000  0.3876  5 Ag 2.98-3.08
Ag  0.0280  0.5000  0.5117  2 Ag 3.05, 3 Sc 3.07-3.08, 4 Sr 3.22-3.23
Ag  0.2451  0.0000  0.8053  2 Sc 2.98, 2 Ag 3.05, 3 Sr 3.10-3.23

Results
- energy relative to the lowest polymorph listed for this composition (meV per atom) = 169

Entry 3:
Entry from Alexandria: a geometry-optimized SrScAg2 structure (PBE-GGA).

Cell lengths 7.9957, 7.9957, 7.0861 Å; angles 90.00, 90.00, 90.00 degrees
With the nearest neighbours (Å) after each atom.
Space group I-42d (No. 122)
Asymmetric unit:
Sr  0.0000  0.0000  0.0000  4 Ag 3.19, 2 Sc 3.54
Sc  0.0000  0.0000  0.5000  4 Ag 2.75
Ag  0.2089  0.2500  0.6250  2 Sc 2.75

Results
- energy relative to the lowest polymorph listed for this composition (meV per atom) = 361

Entry 4:
Entry from Alexandria: a geometry-optimized Sr2ScAg structure (PBE-GGA).

Cell lengths 4.6852, 4.6852, 24.7026 Å; angles 90.00, 90.00, 120.00 degrees
With the nearest neighbours (Å) after each atom.
Space group R3m (No. 160, hexagonal axes)
Asymmetric unit:
Sr  0.0000  0.0000  0.0000  3 Sc 3.56, 3 Ag 3.76
Sr  0.0000  0.0000  0.1937  3 Ag 3.47, 3 Sc 3.66
Sc  0.0000  0.0000  0.4273  3 Ag 2.72
Ag  0.0000  0.0000  0.7723  3 Sc 2.72

Results
- energy relative to the lowest polymorph listed for this composition (meV per atom) = 81

Entry 5:
Entry from Alexandria: a geometry-optimized SrSc2Ag2 structure (PBE-GGA).

Cell lengths 8.4449, 8.4449, 3.5080 Å; angles 90.00, 90.00, 90.00 degrees
With the nearest neighbours (Å) after each atom.
Space group P4/mbm (No. 127)
Asymmetric unit:
Sr  0.0000  0.0000  0.0000  4 Ag 3.30, 2 Sr 3.51, 8 Sc 3.66
Sc  0.1497  0.3503  0.5000  6 Ag 2.96-3.14
Ag  0.1327  0.6327  0.0000  6 Sc 2.96-3.14, 1 Ag 3.17, 2 Sr 3.30

Results
- energy relative to the lowest polymorph listed for this composition (meV per atom) = 49

Entry 6:
Entry from Alexandria: a geometry-optimized SrScAg3 structure (PBE-GGA).

Cell lengths 5.2589, 5.2589, 5.2589 Å; angles 90.00, 90.00, 90.00 degrees
With the nearest neighbours (Å) after each atom.
Space group Pm-3m (No. 221)
Asymmetric unit:
Sr  0.0000  0.0000  0.0000  12 Ag 3.72
Sc  0.5000  0.5000  0.5000  6 Ag 2.63
Ag  0.0000  0.5000  0.5000  2 Sc 2.63

Results
- energy relative to the lowest polymorph listed for this composition (meV per atom) = 0

Entry 7:
Entry from Alexandria: a geometry-optimized Sr2ScAg structure (PBE-GGA).

Cell lengths 3.9137, 3.9137, 32.0289 Å; angles 90.00, 90.00, 120.00 degrees
With the nearest neighbours (Å) after each atom.
Space group R-3m (No. 166, hexagonal axes)
Asymmetric unit:
Sr  0.0000  0.0000  0.2412  3 Ag 3.29
Sc  0.0000  0.0000  0.0000  6 Sr 3.72, 6 Sc 3.91
Ag  0.0000  0.0000  0.5000  6 Sr 3.29

Results
- energy relative to the lowest polymorph listed for this composition (meV per atom) = 212

Entry 8:
Entry from Alexandria: a geometry-optimized SrSc4Ag structure (PBE-GGA).

Cell lengths 8.7210, 8.7210, 8.7210 Å; angles 90.00, 90.00, 90.00 degrees
With the nearest neighbours (Å) after each atom.
Space group F-43m (No. 216)
Asymmetric unit:
Sr  0.0000  0.0000  0.0000  12 Sc 3.62, 4 Ag 3.78
Sc  0.1238  0.1238  0.3762  6 Sc 3.05-3.11
Ag  0.2500  0.2500  0.7500  12 Sc 3.61, 4 Sr 3.78

Results
- DFT total energy (eV per atom) = -4.606

Entry 9:
Entry from Alexandria: a geometry-optimized SrSc2Ag2 structure (PBE-GGA).

Cell lengths 8.5042, 8.5042, 3.3071 Å; angles 90.00, 90.00, 90.00 degrees
With the nearest neighbours (Å) after each atom.
Space group P4/mbm (No. 127)
Asymmetric unit:
Sr  0.0000  0.0000  0.0000  2 Sr 3.31, 4 Sc 3.33, 8 Ag 3.59
Sc  0.1307  0.3693  0.0000  6 Ag 2.99-3.00, 3 Sc 3.14-3.31, 2 Sr 3.33
Ag  0.1612  0.6612  0.5000  6 Sc 2.99-3.00, 2 Ag 3.31

Results
- energy relative to the lowest polymorph listed for this composition (meV per atom) = 13

Entry 10:
Entry from Alexandria: a geometry-optimized Sr3ScAg structure (PBE-GGA).

Cell lengths 6.0733, 6.0733, 6.0733 Å; angles 90.00, 90.00, 90.00 degrees
With the nearest neighbours (Å) after each atom.
Space group Pm-3m (No. 221)
Asymmetric unit:
Sr  0.0000  0.0000  0.5000  2 Ag 3.04
Sc  0.5000  0.5000  0.5000  12 Sr 4.29
Ag  0.0000  0.0000  0.0000  6 Sr 3.04

Results
- energy relative to the lowest polymorph listed for this composition (meV per atom) = 0

Entry 11:
Entry from Alexandria: a geometry-optimized SrScAg2 structure (PBE-GGA).

Cell lengths 7.3968, 7.3989, 3.5827 Å; angles 90.00, 90.16, 90.00 degrees
With the nearest neighbours (Å) after each atom.
Space group C2/m (No. 12)
Asymmetric unit:
Sr  0.0000  0.0000  0.0000  8 Ag 3.17
Sc  0.0000  0.5000  0.0000  8 Ag 3.17
Ag  0.2500  0.2500  0.5000  4 Sc 3.17, 4 Sr 3.17

Results
- energy relative to the lowest polymorph listed for this composition (meV per atom) = 86

Entry 12:
Entry from Alexandria: a geometry-optimized Sr2ScAg structure (PBE-GGA).

Cell lengths 4.0399, 4.0605, 8.1015 Å; angles 90.00, 90.00, 90.00 degrees
With the nearest neighbours (Å) after each atom.
Space group Pmmm (No. 47)
Asymmetric unit:
Sr  0.0000  0.0000  0.2304  4 Ag 3.42, 4 Sc 3.60, 1 Sr 3.73
Sc  0.5000  0.5000  0.5000  8 Sr 3.60
Ag  0.5000  0.5000  0.0000  8 Sr 3.42

Results
- energy relative to the lowest polymorph listed for this composition (meV per atom) = 97

Entry 13:
Entry from Alexandria: a geometry-optimized Sr2ScAg structure (PBE-GGA).

Cell lengths 7.9775, 7.9775, 7.9775 Å; angles 90.00, 90.00, 90.00 degrees
With the nearest neighbours (Å) after each atom.
Space group F-43m (No. 216)
Asymmetric unit:
Sr  0.0000  0.0000  0.0000  4 Sr 3.45, 4 Sc 3.45
Sr  0.2500  0.2500  0.2500  4 Sr 3.45, 4 Ag 3.45
Sc  0.2500  0.2500  0.7500  4 Sr 3.45, 4 Ag 3.45
Ag  0.0000  0.0000  0.5000  4 Sc 3.45, 4 Sr 3.45

Results
- energy relative to the lowest polymorph listed for this composition (meV per atom) = 284

Entry 14:
Entry from Alexandria: a geometry-optimized SrScAg2 structure (PBE-GGA).

Cell lengths 7.3528, 7.3528, 7.3528 Å; angles 90.00, 90.00, 90.00 degrees
With the nearest neighbours (Å) after each atom.
Space group Fm-3m (No. 225)
Asymmetric unit:
Sr  0.0000  0.0000  0.0000  8 Ag 3.18
Sc  0.0000  0.0000  0.5000  8 Ag 3.18
Ag  0.2500  0.2500  0.2500  4 Sc 3.18, 4 Sr 3.18

Results
- energy relative to the lowest polymorph listed for this composition (meV per atom) = 116